(1)
DFT (PBE-GGA) results for a relaxed structure of Er3Tm8Pu2.

Geometry as POSCAR:
```
Er3Tm8Pu2
1.0
6.0067 0.0000 0.0000
1.0075 5.9422 0.0000
0.0010 2.0107 10.7751
Er Tm Pu
3 8 2
Cartesian
0.0000 0.0000 0.0000
3.0125 1.5320 0.8284
4.0027 6.4209 9.9467
1.0041 4.8831 9.0927
0.9701 1.8185 7.4283
2.0076 1.7079 4.1754
3.0363 4.5868 2.5256
3.9789 3.3661 8.2495
5.0076 6.2450 6.5997
6.0451 6.1344 3.3468
6.0111 3.0698 1.6824
2.0015 4.7065 5.7970
5.0137 3.2464 4.9780
```

Values from the calculation:
V	384.6	Å³/cell
total moment	12.8	μB/cell
formation energy	0.0600	eV per atom

***

(2)
DFT (PBE-GGA) results for a relaxed structure of Er4Tm5Pu.

Geometry as POSCAR:
```
Er4Tm5Pu
1.0
-5.3478 5.3478 2.6740
5.3478 -5.3478 2.6740
5.3478 5.3478 -2.6740
Er Tm Pu
4 5 1
Cartesian
3.4762 0.0000 0.0000
7.2194 0.0000 0.0000
0.0000 3.4762 0.0000
0.0000 7.2194 0.0000
3.3752 3.3752 -0.0024
1.9726 -1.9726 2.6716
-1.9726 1.9726 2.6716
1.9726 1.9726 2.6716
0.0000 0.0000 5.2924
0.0000 0.0000 2.6104
```

Values from the calculation:
V	305.9	Å³/cell
total moment	5.6	μB/cell
formation energy	0.2760	eV per atom

***

(3)
DFT (PBE-GGA) results for a relaxed structure of ErTmPu2.

Geometry as POSCAR:
```
ErTmPu2
1.0
3.3766 0.0000 0.0000
0.0000 3.3766 0.0000
0.0000 0.0000 10.0268
Er Tm Pu
1 1 2
Cartesian
0.0000 0.0000 0.0000
0.0000 0.0000 5.0134
1.6883 1.6883 2.5148
1.6883 1.6883 7.5120
```

Values from the calculation:
V	114.3	Å³/cell
total moment	12.8	μB/cell
formation energy	0.1571	eV per atom

***

(4)
DFT (PBE-GGA) results for a relaxed structure of Er5Tm4Pu.

Geometry as POSCAR:
```
Er5Tm4Pu
1.0
8.2625 -1.7302 0.0000
8.2625 1.7302 0.0000
-3.6152 0.0000 10.5334
Er Tm Pu
5 4 1
Cartesian
0.0000 0.0000 0.0000
3.4018 0.0000 4.0311
1.7915 0.0000 9.7134
11.1183 0.0000 0.8200
9.5080 0.0000 6.5023
-1.1393 0.0000 8.3709
4.3201 0.0000 7.4154
8.5897 0.0000 3.1180
14.0491 0.0000 2.1625
-1.8076 0.0000 5.2667
```

Values from the calculation:
V	301.2	Å³/cell
total moment	6.3	μB/cell
formation energy	0.0583	eV per atom

***

(5)
DFT (PBE-GGA) results for a relaxed structure of Er7Tm4Pu.

Geometry as POSCAR:
```
Er7Tm4Pu
1.0
5.8711 0.0000 0.0000
-2.8018 8.1574 0.0000
-2.8033 -2.8519 7.6506
Er Tm Pu
7 4 1
Cartesian
0.0000 0.0000 0.0000
-1.3508 2.0410 2.9464
-1.3323 -0.7353 5.2522
-1.3207 5.1699 1.1502
1.5867 0.1356 6.5004
1.5983 6.0408 2.3984
1.6168 3.2645 4.7042
-1.3240 2.3867 6.5204
-1.3197 5.2688 4.5196
1.5857 0.0367 3.1310
1.5900 2.9188 1.1302
2.9356 0.0000 0.0000
```

Values from the calculation:
V	366.4	Å³/cell
total moment	5.8	μB/cell
formation energy	0.1325	eV per atom

***

(6)
DFT (PBE-GGA) results for a relaxed structure of Er8Tm6Pu.

Geometry as POSCAR:
```
Er8Tm6Pu
1.0
9.1822 0.0000 0.0000
-4.5911 7.9521 0.0000
0.0000 0.0000 6.5545
Er Tm Pu
8 6 1
Cartesian
-1.3231 2.6718 2.5978
-1.6158 7.7620 2.5978
0.0000 5.3014 4.5230
1.6523 2.4817 3.9567
2.9389 5.4704 2.5978
4.5911 2.6507 2.0314
6.2069 0.1901 3.9567
5.9142 5.2803 3.9567
-2.3605 5.3949 0.6420
1.0992 3.2104 0.6420
3.3299 0.6532 5.9125
1.2612 7.2988 0.6420
3.4919 4.7417 5.9125
6.9516 2.5572 5.9125
0.0000 0.0000 0.0000
```

Values from the calculation:
V	478.6	Å³/cell
total moment	6.8	μB/cell
formation energy	0.2772	eV per atom

***

(7)
DFT (PBE-GGA) results for a relaxed structure of Er7Tm2Pu.

Geometry as POSCAR:
```
Er7Tm2Pu
1.0
8.2520 -1.7302 0.0000
8.2520 1.7302 0.0000
-3.6183 0.0000 10.5533
Er Tm Pu
7 2 1
Cartesian
0.0000 0.0000 0.0000
0.6636 0.0000 3.1508
1.5700 0.0000 9.3180
6.1048 0.0000 2.2070
6.7810 0.0000 8.3463
11.3158 0.0000 1.2353
12.2222 0.0000 7.4025
3.6101 0.0000 4.4572
9.2757 0.0000 6.0961
-1.8091 0.0000 5.2766
```

Values from the calculation:
V	301.3	Å³/cell
total moment	5.8	μB/cell
formation energy	0.0557	eV per atom

***

(8)
DFT (PBE-GGA) results for a relaxed structure of Y6Er3Tm2Pu.

Geometry as POSCAR:
```
Y6Er3Tm2Pu
1.0
3.0574 -5.2944 0.0000
3.0574 5.2944 0.0000
-2.0391 0.0000 11.4842
Y Er Tm Pu
6 3 2 1
Cartesian
-0.0105 1.7482 8.5923
1.0001 0.0000 2.8925
-0.0105 -1.7482 8.5923
4.0863 1.7482 2.8919
3.0756 0.0000 8.5917
4.0863 -1.7482 2.8919
3.0574 3.5220 0.0000
3.0574 0.0000 0.0000
3.0574 -3.5220 0.0000
2.0379 1.7642 5.7421
2.0379 -1.7642 5.7421
-1.0195 0.0000 5.7421
```

Values from the calculation:
V	371.8	Å³/cell
total moment	6.6	μB/cell
formation energy	0.0511	eV per atom

***

(9)
DFT (PBE-GGA) results for a relaxed structure of Y3Er6Tm2Pu.

Geometry as POSCAR:
```
Y3Er6Tm2Pu
1.0
3.0401 -5.2652 0.0000
3.0401 5.2652 0.0000
-2.0278 0.0000 11.4292
Y Er Tm Pu
3 6 2 1
Cartesian
0.0000 0.0000 0.0000
3.0401 1.7626 0.0000
3.0401 -1.7626 0.0000
1.0241 1.7353 2.9008
0.0208 0.0000 8.5287
1.0241 -1.7353 2.9008
3.0282 1.7353 8.5285
4.0315 0.0000 2.9005
3.0282 -1.7353 8.5285
2.0262 3.5111 5.7146
2.0262 -3.5111 5.7146
2.0262 0.0000 5.7146
```

Values from the calculation:
V	365.9	Å³/cell
total moment	6.5	μB/cell
formation energy	0.0464	eV per atom

***

(10)
DFT (PBE-GGA) results for a relaxed structure of Y6Er2Tm3Pu.

Geometry as POSCAR:
```
Y6Er2Tm3Pu
1.0
3.0571 -5.2943 0.0000
3.0571 5.2943 0.0000
-2.0396 0.0000 11.4786
Y Er Tm Pu
6 2 3 1
Cartesian
-0.0130 1.7485 8.5970
1.0023 0.0000 2.8814
-0.0130 -1.7485 8.5970
4.0876 1.7485 2.8816
3.0723 0.0000 8.5973
4.0876 -1.7485 2.8816
2.0373 1.7641 5.7393
2.0373 -1.7641 5.7393
3.0571 3.5228 0.0000
3.0571 0.0000 0.0000
3.0571 -3.5228 0.0000
-1.0198 0.0000 5.7393
```

Values from the calculation:
V	371.6	Å³/cell
total moment	6.6	μB/cell
formation energy	0.0522	eV per atom

***

(11)
DFT (PBE-GGA) results for a relaxed structure of Y2Er3Tm6Pu.

Geometry as POSCAR:
```
Y2Er3Tm6Pu
1.0
3.0309 -5.2492 0.0000
3.0309 5.2492 0.0000
-2.0253 0.0000 11.3809
Y Er Tm Pu
2 3 6 1
Cartesian
3.0309 3.5003 0.0000
3.0309 -3.5003 0.0000
-1.0127 0.0000 5.6904
2.0182 1.7572 5.6904
2.0182 -1.7572 5.6904
0.0110 1.7272 8.5383
1.0329 0.0000 2.8442
0.0110 -1.7272 8.5383
4.0254 1.7272 2.8425
3.0036 0.0000 8.5366
4.0254 -1.7272 2.8425
3.0309 0.0000 0.0000
```

Values from the calculation:
V	362.1	Å³/cell
total moment	6.5	μB/cell
formation energy	0.0494	eV per atom

***

(12)
DFT (PBE-GGA) results for a relaxed structure of YErTmPu.

Geometry as POSCAR:
```
YErTmPu
1.0
7.8512 0.0000 0.0000
0.0000 7.8512 0.0000
0.0000 0.0000 7.8512
Y Er Tm Pu
4 4 4 4
Cartesian
0.0000 0.0000 0.0000
0.0000 3.9256 3.9256
3.9256 0.0000 3.9256
3.9256 3.9256 0.0000
1.9628 1.9628 5.8884
1.9628 5.8884 1.9628
5.8884 1.9628 1.9628
5.8884 5.8884 5.8884
1.9628 1.9628 1.9628
1.9628 5.8884 5.8884
5.8884 1.9628 5.8884
5.8884 5.8884 1.9628
0.0000 0.0000 3.9256
0.0000 3.9256 0.0000
3.9256 0.0000 0.0000
3.9256 3.9256 3.9256
```

Values from the calculation:
V	484.0	Å³/cell
total moment	26.7	μB/cell
formation energy	0.1849	eV per atom

***

What is the V in the third record?
114.3 Å³/cell